No. 1
The following is a DFT calculation (PBE-GGA) of LaCd2Rh2 after structural relaxation.

Calculated values
The space group is No. 139. For the calculated formation energy, the calculation gives -215 meV per atom. The value obtained for the electronic total energy is -4.507 eV/atom. The calculation puts the mass density at 8.4 g/cm³. As for the crystal system: tetragonal.

Lattice parameters (Å, degrees): 4.8242 4.8242 5.9146 65.93 65.93 90.00
Last column: nearest neighbours and their distance in Å.
Sites, in units of the cell vectors:
Cd 0.6375 0.6375 0.7250  4 Rh 2.65, 1 Cd 2.66
Cd 0.3625 0.3625 0.2750  4 Rh 2.65, 1 Cd 2.66
Rh 0.7500 0.2500 0.5000  4 Cd 2.65
Rh 0.2500 0.7500 0.5000  4 Cd 2.65
La 0.0000 0.0000 0.0000  8 Rh 3.41, 10 Cd 3.50-3.66



No. 2
The following is a DFT calculation (PBE-GGA) of Pm2Ga4Cu3 after structural relaxation.

Calculated values
The space group is No. 64. For the calculated formation energy, the calculation gives -404 meV per atom. The value obtained for the electronic total energy is -4.170 eV/atom. The calculation puts the mass density at 7.7 g/cm³. As for the crystal system: orthorhombic.

Lattice parameters (Å, degrees): 5.6651 7.6290 8.0883 90.00 110.50 90.00
Last column: nearest neighbours and their distance in Å.
Sites, in units of the cell vectors:
Ga 0.8208 0.0107 0.6415  5 Cu 2.56-2.72
Ga 0.1873 0.7500 0.8746  3 Cu 2.52-2.56
Ga 0.8127 0.2500 0.1254  3 Cu 2.52-2.56
Ga 0.1792 0.9893 0.3585  5 Cu 2.56-2.72
Ga 0.6792 0.5107 0.3585  5 Cu 2.56-2.72
Ga 0.3127 0.2500 0.1254  3 Cu 2.52-2.56
Ga 0.3208 0.4893 0.6415  5 Cu 2.56-2.72
Ga 0.6873 0.7500 0.8746  3 Cu 2.52-2.56
Cu 0.9791 0.2500 0.4582  5 Ga 2.52-2.70
Cu 0.0209 0.7500 0.5418  5 Ga 2.52-2.70
Cu 0.5209 0.7500 0.5418  5 Ga 2.52-2.70
Cu 0.0000 0.0000 0.0000  6 Ga 2.56-2.72
Cu 0.5000 0.5000 0.0000  6 Ga 2.56-2.72
Cu 0.4791 0.2500 0.4582  5 Ga 2.52-2.70
Pm 0.3907 0.0967 0.7813  4 Cu 3.06-3.36, 8 Ga 3.08-3.31
Pm 0.6093 0.9033 0.2187  4 Cu 3.06-3.36, 8 Ga 3.08-3.31
Pm 0.8907 0.4033 0.7813  4 Cu 3.06-3.36, 8 Ga 3.08-3.31
Pm 0.1093 0.5967 0.2187  4 Cu 3.06-3.36, 8 Ga 3.08-3.31



No. 3
The following is a DFT calculation (PBE-GGA) of Cs2Cu2PbBr7 after structural relaxation.

Calculated values
The calculation puts the formation energy from raw total energies at -885 meV/atom. The space group is No. 139. The value obtained for the electronic total energy is -2.995 eV/atom. The calculation puts the mass density at 5.0 g/cm³. As for the crystal system: tetragonal.

Lattice parameters (Å, degrees): 5.2890 5.2890 14.1574 79.24 79.24 89.99
Last column: nearest neighbours and their distance in Å.
Sites, in units of the cell vectors:
Br 0.9196 0.4197 0.1605  2 Cu 2.67
Br 0.0804 0.5803 0.8395  2 Cu 2.67
Br 0.5000 0.5000 0.0000  2 Cu 2.54
Br 0.6856 0.6856 0.6289  1 Cu 2.53
Br 0.5803 0.0804 0.8395  2 Cu 2.67
Br 0.4197 0.9196 0.1605  2 Cu 2.67
Br 0.3144 0.3144 0.3711  1 Cu 2.53
Cs 0.8221 0.8221 0.3561  9 Br 3.73-3.76
Cs 0.1779 0.1779 0.6439  9 Br 3.73-3.76
Cu 0.4066 0.4066 0.1861  6 Br 2.53-2.67
Cu 0.5933 0.5934 0.8139  6 Br 2.53-2.67
Pb 0.0000 0.0000 0.0000  12 Br 3.43-3.74



No. 4
The following is a DFT calculation (PBE-GGA) of NiPdI2N after structural relaxation.

Calculated values
The calculation puts the formation energy from raw total energies at 662 meV/atom. The space group is No. 123. The value obtained for the electronic total energy is -3.818 eV/atom. The calculation puts the mass density at 6.9 g/cm³. As for the crystal system: tetragonal.

Lattice parameters (Å, degrees): 5.4901 5.4901 3.4351 90.00 90.00 90.00
Last column: nearest neighbours and their distance in Å.
Sites, in units of the cell vectors:
I 0.0000 0.5000 0.0000  2 Ni 2.75
I 0.5000 0.0000 0.0000  2 Ni 2.75
Pd 0.5000 0.5000 0.5000  8 I 3.24, 2 Pd 3.44
Ni 0.0000 0.0000 0.0000  2 N 1.72
N 0.0000 0.0000 0.5000  2 Ni 1.72



No. 5
The following is a DFT calculation (PBE-GGA) of Ti5As2P after structural relaxation.

Calculated values
The space group is No. 55. For the calculated formation energy, the calculation gives -950 meV per atom. The value obtained for the electronic total energy is -7.723 eV/atom. The calculation puts the mass density at 5.5 g/cm³. As for the crystal system: orthorhombic.

Lattice parameters (Å, degrees): 3.6769 6.6670 10.3373 90.00 90.00 90.00
Last column: nearest neighbours and their distance in Å.
Sites, in units of the cell vectors:
P 0.0000 0.5000 0.5000  6 Ti 2.35-2.42
P 0.0000 0.0000 0.0000  6 Ti 2.35-2.42
Ti 0.5000 0.7003 0.4201  2 P 2.42, 2 As 2.67-2.70
Ti 0.0000 0.3595 0.2911  1 P 2.35
Ti 0.0000 0.5000 0.0000  4 As 2.62, 4 Ti 2.84
Ti 0.0000 0.8595 0.2089  1 P 2.35
Ti 0.5000 0.2997 0.5799  2 P 2.42, 2 As 2.67-2.70
Ti 0.0000 0.0000 0.5000  4 As 2.62, 4 Ti 2.84
Ti 0.0000 0.6405 0.7089  1 P 2.35
Ti 0.5000 0.2003 0.0799  2 P 2.42, 2 As 2.67-2.70
Ti 0.0000 0.1405 0.7911  1 P 2.35
Ti 0.5000 0.7997 0.9201  2 P 2.42, 2 As 2.67-2.70
As 0.5000 0.5775 0.1740  8 Ti 2.62-2.70
As 0.5000 0.0775 0.3260  8 Ti 2.62-2.70
As 0.5000 0.9225 0.6740  8 Ti 2.62-2.70
As 0.5000 0.4225 0.8260  8 Ti 2.62-2.70



No. 6
The following is a DFT calculation (PBE-GGA) of Y3VSe after structural relaxation.

Calculated values
The calculation puts the formation energy from raw total energies at -53 meV/atom. The space group is No. 221. The value obtained for the electronic total energy is -6.452 eV/atom. The calculation puts the mass density at 4.3 g/cm³. As for the crystal system: cubic.

Lattice parameters (Å, degrees): 5.3504 5.3504 5.3504 90.00 90.00 90.00
Last column: nearest neighbours and their distance in Å.
Sites, in units of the cell vectors:
V 0.5000 0.5000 0.5000  12 Y 3.78
Y 0.5000 0.0000 0.0000  2 Se 2.68
Y 0.0000 0.0000 0.5000  2 Se 2.68
Y 0.0000 0.5000 0.0000  2 Se 2.68
Se 0.0000 0.0000 0.0000  6 Y 2.68



No. 7
The following is a DFT calculation (PBE-GGA) of LiZnMo2N after structural relaxation.

Calculated values
The calculation puts the formation energy from raw total energies at 2065 meV/atom. The space group is No. 123. The value obtained for the electronic total energy is -4.570 eV/atom. The calculation puts the mass density at 6.7 g/cm³. As for the crystal system: tetragonal.

Lattice parameters (Å, degrees): 4.2989 3.7167 4.2989 90.00 90.00 90.00
Last column: nearest neighbours and their distance in Å.
Sites, in units of the cell vectors:
Mo 0.0000 0.0000 0.5000  2 Li 2.15
Mo 0.5000 0.0000 0.0000  2 Li 2.15
N 0.5000 0.5000 0.5000  8 Mo 2.84, 4 Zn 3.04
Li 0.0000 0.0000 0.0000  2 Zn 1.86
Zn 0.0000 0.5000 0.0000  2 Li 1.86



No. 8
The following is a DFT calculation (PBE-GGA) of H4Pd5Pt after structural relaxation.

Calculated values
The space group is No. 12. The value obtained for the electronic total energy is -4.560 eV/atom. The calculation puts the mass density at 11.6 g/cm³. As for the crystal system: monoclinic.

Lattice parameters (Å, degrees): 2.8077 4.8800 8.0785 87.86 79.99 73.28
Last column: nearest neighbours and their distance in Å.
Sites, in units of the cell vectors:
Pd 0.8148 0.0311 0.3392  2 H 1.86
Pd 0.6447 0.5497 0.1609  3 H 1.88-1.93
Pd 0.1852 0.9689 0.6608  2 H 1.86
Pd 0.0000 0.5000 0.5000  2 H 1.94
Pd 0.3553 0.4503 0.8391  3 H 1.88-1.93
H 0.5665 0.2260 0.6409  3 Pd 1.86-1.88
H 0.4335 0.7740 0.3591  3 Pd 1.86-1.88
H 0.1926 0.3415 0.2732  5 Pd 1.93-2.09
H 0.8074 0.6585 0.7268  5 Pd 1.93-2.09
Pt 0.0000 0.0000 0.0000  8 Pd 2.70-2.85, 2 Pt 2.81